# 1
Entry from Alexandria via LeMat-Bulk: CeNdTm2Hg4 after structural relaxation (PBE-GGA).

The total magnetic moment is 5.3 μB per cell. As for the formation energy from the elements: -319 kJ/mol of formula units. The density of states at the Fermi level is 1.879 states/eV/atom. The calculation puts the total energy at -72.471 eV/cell.

It has space group R-3m (No. 166, hexagonal axes), with a = 5.3228 Å, b = 5.3228 Å, c = 26.0804 Å, α = 90.00°, β = 90.00° and γ = 120.00°. Symmetry generates all atoms from Ce at (0.0000, 0.0000, 0.0000), Nd at (0.0000, 0.0000, 0.5000), Tm at (0.0000, 0.0000, 0.2506), Hg at (0.0000, 0.0000, 0.1248) and Hg at (0.0000, 0.0000, 0.3748).



# 2
Entry from Alexandria via LeMat-Bulk: KSb2P after structural relaxation (PBE-GGA).

The total magnetic moment is 0.0 μB per cell. The density of states at the Fermi level is 0.597 states/eV/atom. For the formation energy without anion corrections, the calculation gives 0.26 eV per atom. The calculation puts the total energy at -27.433 eV/cell.

It has space group I-4m2 (No. 119), with a = 4.785 Å, b = 4.785 Å, c = 9.121 Å, α = 90.00°, β = 90.00° and γ = 90.00°. Symmetry generates all atoms from K at (0.000, 0.000, 0.000), Sb at (0.000, 0.000, 0.500), Sb at (0.000, 0.500, 0.250) and P at (0.000, 0.500, 0.750).



# 3
Entry from Alexandria via LeMat-Bulk: YV2Pt after structural relaxation (PBE-GGA).

The value obtained for the polymorph energy (0 for the lowest one) is 0 meV per atom. The total magnetic moment is 0.0 μB per cell. As for the formation energy from the elements: 25 kJ/mol of formula units. The density of states at the Fermi level is 0.875 states/eV/atom. The calculation puts the total energy at -121.938 eV/cell.

It has space group Fm-3m (No. 225), with a = 6.408 Å, b = 6.408 Å, c = 6.408 Å, α = 90.00°, β = 90.00° and γ = 90.00°. Symmetry generates all atoms from Y at (0.000, 0.000, 0.000), V at (0.250, 0.250, 0.250) and Pt at (0.000, 0.000, 0.500).



# 4
Entry from Alexandria via LeMat-Bulk: KRb2Cu2Cl6 after structural relaxation (PBE-GGA).

The total magnetic moment is 2.0 μB per cell. The density of states at the Fermi level is 0.471 states/eV/atom. For the formation energy without anion corrections, the calculation gives -1.30 eV per atom. The calculation puts the total energy at -73.164 eV/cell.

It has space group C2/m (No. 12), with a = 12.926 Å, b = 7.300 Å, c = 8.562 Å, α = 90.00°, β = 116.45° and γ = 90.00°. Symmetry generates all atoms from K at (0.000, 0.000, 0.000), Rb at (0.207, 0.000, 0.687), Cu at (0.046, 0.500, 0.746), Cl at (0.067, 0.256, 0.323) and Cl at (0.234, 0.500, 0.886).



# 5
Entry from Alexandria via LeMat-Bulk: HfMgTlHg after structural relaxation (PBE-GGA).

The total magnetic moment is 0.0 μB per cell. As for the formation energy from the elements: 38 kJ/mol of formula units. The density of states at the Fermi level is 0.519 states/eV/atom. The calculation puts the total energy at -55.304 eV/cell.

It has space group F-43m (No. 216), with a = 7.082 Å, b = 7.082 Å, c = 7.082 Å, α = 90.00°, β = 90.00° and γ = 90.00°. Symmetry generates all atoms from Hf at (0.000, 0.000, 0.000), Mg at (0.000, 0.000, 0.500), Tl at (0.250, 0.250, 0.250) and Hg at (0.250, 0.250, 0.750).



# 6
Entry from Alexandria via LeMat-Bulk: BaLiMgCd2 after structural relaxation (PBE-GGA).

The value obtained for the polymorph energy (0 for the lowest one) is 103 meV per atom. The total magnetic moment is 0.0 μB per cell. As for the formation energy from the elements: -49 kJ/mol of formula units. The density of states at the Fermi level is 0.755 states/eV/atom. The calculation puts the total energy at -7.772 eV/cell.

It has space group P4/mmm (No. 123), with a = 5.239 Å, b = 5.239 Å, c = 5.206 Å, α = 90.00°, β = 90.00° and γ = 90.00°. Symmetry generates all atoms from Ba at (0.000, 0.000, 0.000), Li at (0.500, 0.500, 0.500), Mg at (0.500, 0.500, 0.000) and Cd at (0.000, 0.500, 0.500).



Look up the total magnetic moment of the fifth one. 0.0 μB per cell



total magnetic moment of number 1 (CeNdTm2Hg4)? 5.3 μB per cell